--- 1 ---
Pt | GGA-PBE | optimized geometry

Calculated values
Its calculated volume is 17.7 Å³ per atom. As for the space group: R-3m.

The structure in POSCAR format:
```
Pt
1.0
1.889 1.090 1.435
-1.889 1.090 1.435
0.000 -2.181 1.435
Pt
1
Direct
0.000 0.000 0.000
```

--- 2 ---
Pt | GGA-PBE | optimized geometry

Calculated values
Its calculated volume is 15.5 Å³ per atom. As for the space group: P6_3/mmc.

The structure in POSCAR format:
```
Pt
1.0
2.794 0.000 0.000
-1.397 2.420 0.000
0.000 0.000 9.194
Pt
4
Direct
0.000 0.000 0.000
0.000 0.000 0.500
0.333 0.667 0.250
0.667 0.333 0.750
```

Comparing the structures above, 2 comes out on top by 0.431 eV/atom.